The following is a DFT calculation (PBE-GGA) of a relaxed CsAg2Pb2 crystal.

a b c (Å): 5.245 5.245 7.018
angles (deg): 68.06 68.06 90.00
Fractional coordinates of all 5 atoms:
1 Pb 0.360 0.360 0.279
2 Pb 0.640 0.640 0.721
3 Cs 0.000 0.000 0.000
4 Ag 0.750 0.250 0.500
5 Ag 0.250 0.750 0.500

Energy relative to the elements   0.0252 eV/atom
Energy above the lowest structure with this stoichiometry   6 meV per atom